Ba2CdFeO5 (GGA+U, optimized geometry); magnetic moment = 12.01 Bohr magnetons per cell; final energy = -5.636 eV/atom
1.0
-3.0014 2.0239 0.0413
-2.0572 -6.2039 -4.1589
-3.2953 -5.0746 9.1997
Ba Fe Cd O
4 2 2 10
Direct
0.1098 0.2195 0.6814
0.8637 0.7273 0.8149
0.1363 0.2727 0.3149
0.8902 0.7805 0.1814
0.5530 0.1061 0.9485
0.4470 0.8939 0.4485
0.2099 0.4199 0.0206
0.7901 0.5801 0.5206
0.4978 0.9955 0.7968
0.5022 0.0045 0.2968
0.9555 0.9111 0.5199
0.7102 0.4205 0.1540
0.3575 0.7150 0.0019
0.3249 0.6498 0.3861
0.6751 0.3502 0.8861
0.0445 0.0889 0.0199
0.2898 0.5795 0.6540
0.6425 0.2850 0.5019